CoBNF2: optimized geometry, GGA+U.

a b c (Å): 4.2481 4.2481 2.7136
angles (deg): 90.00 90.00 90.00
Space group P4/mmm (No. 123)
Symmetry-distinct sites (fractional):
Co  0.0000  0.0000  0.0000 [1 per cell]
B  0.5000  0.5000  0.5000 [1 per cell]
N  0.5000  0.5000  0.0000 [1 per cell]
F  0.0000  0.5000  0.5000 [2 per cell]

Values from the calculation:
- Theoretical density: 4.1 g cm⁻³
- Size of the total moment: 2.85 μB per cell
- Energy above the most stable polymorph in this dataset: 0 meV per atom
- E_tot: -26.8 eV per cell